# Ba4PHBr2

A relaxed structure of Ba4PHBr2 (GGA-PBE, the Alexandria database).

a b c (Å): 4.5984 7.7729 8.2344
angles (deg): 107.94 90.00 90.00
With the nearest neighbours (Å) after each atom.
Sites, in units of the cell vectors:
Br1 0.0000 0.5000 0.5000  6 Ba 3.40-3.47
Ba1 0.0000 0.2549 0.7886  1 H 3.01, 2 P 3.15
Ba2 0.5000 0.7537 0.7752  1 P 3.09, 2 H 3.19, 3 Br 3.39-3.40
H1 0.0000 0.0000 0.0000  6 Ba 3.01-3.19
Br2 0.5000 0.0000 0.5000  6 Ba 3.39-3.46
Ba3 0.0000 0.7451 0.2114  1 H 3.01, 2 P 3.15
P1 0.5000 0.5000 0.0000  6 Ba 3.09-3.15
Ba4 0.5000 0.2463 0.2248  1 P 3.09, 2 H 3.19, 3 Br 3.39-3.40

Electronic total energy   -29.453 eV for the cell shown